No. 1
Below is an optimized crystal structure of MgBePdPb, with properties calculated at the PBE level.

Output
- crystal system = cubic

The structure in CIF format:
```
data_MgBePdPb
_chemical_formula_sum 'Mg1 Be1 Pd1 Pb1'
_cell_length_a 4.626
_cell_length_b 4.626
_cell_length_c 4.626
_cell_angle_alpha 60.00
_cell_angle_beta 60.00
_cell_angle_gamma 60.00
_space_group_name_H-M_alt 'P 1'
_space_group_IT_number 1
loop_
_space_group_symop_operation_xyz
'x,y,z'
loop_
_atom_site_label
_atom_site_type_symbol
_atom_site_fract_x
_atom_site_fract_y
_atom_site_fract_z
_atom_site_occupancy
Pd1 Pd 0.000 0.000 0.000 1
Pb1 Pb 0.500 0.500 0.500 1
Mg1 Mg 0.250 0.250 0.250 1
Be1 Be 0.750 0.750 0.750 1
```

***

No. 2
Below is an optimized crystal structure of MgBe2Pd2, with properties calculated at the PBE level.

Output
- crystal system = tetragonal

The structure in CIF format:
```
data_MgBe2Pd2
_chemical_formula_sum 'Mg1 Be2 Pd2'
_cell_length_a 6.089
_cell_length_b 6.089
_cell_length_c 6.089
_cell_angle_alpha 146.52
_cell_angle_beta 146.52
_cell_angle_gamma 48.07
_space_group_name_H-M_alt 'P 1'
_space_group_IT_number 1
loop_
_space_group_symop_operation_xyz
'x,y,z'
loop_
_atom_site_label
_atom_site_type_symbol
_atom_site_fract_x
_atom_site_fract_y
_atom_site_fract_z
_atom_site_occupancy
Pd1 Pd 0.619 0.619 0.000 1
Be1 Be 0.250 0.750 0.500 1
Pd2 Pd 0.381 0.381 0.000 1
Mg1 Mg 0.000 0.000 0.000 1
Be2 Be 0.750 0.250 0.500 1
```

***

No. 3
Below is an optimized crystal structure of MgBe2Pd2, with properties calculated at the PBE level.

Output
- crystal system = tetragonal

The structure in CIF format:
```
data_MgBe2Pd2
_chemical_formula_sum 'Mg1 Be2 Pd2'
_cell_length_a 5.289
_cell_length_b 5.289
_cell_length_c 5.289
_cell_angle_alpha 136.68
_cell_angle_beta 136.68
_cell_angle_gamma 62.93
_space_group_name_H-M_alt 'P 1'
_space_group_IT_number 1
loop_
_space_group_symop_operation_xyz
'x,y,z'
loop_
_atom_site_label
_atom_site_type_symbol
_atom_site_fract_x
_atom_site_fract_y
_atom_site_fract_z
_atom_site_occupancy
Be1 Be 0.621 0.621 0.000 1
Pd1 Pd 0.750 0.250 0.500 1
Be2 Be 0.379 0.379 0.000 1
Pd2 Pd 0.250 0.750 0.500 1
Mg1 Mg 0.000 0.000 0.000 1
```

***

Asked for E above lowest polymorph across the records above, the calculation gives 0 12 0 meV per atom in order.
Asked for total DFT energy (no corrections) across the records above, the calculation gives -3.46 -4.25 -4.26 eV/atom in order.